A plane-wave DFT calculation with PBE-GGA was carried out for YPbO2F after structural relaxation.

Results
* E: -5.6886 eV/atom

Lattice parameters (Å, degrees): 4.487 4.487 4.476 90.00 90.00 90.00
Each line ends with the local moment (μB).
Atoms (fractional coordinates):
Pb: 0.000 0.000 0.000  0.00
Y: 0.500 0.500 0.500  0.30
O: 0.000 0.500 0.000  -0.01
O: 0.500 0.000 0.000  -0.01
F: 0.000 0.000 0.500  0.01